## Rb2MoPb2O6 (PBE with a Hubbard U)

Data for a geometry-optimized Rb2MoPb2O6 structure.

Computed properties:
Its raw total energy is -5.62 eV per atom.

abc: 6.0379 6.0379 6.8436
angles: 98.87 98.87 116.29
Positions (direct):
Rb 0.8249 0.1751 0.0000
Rb 0.1751 0.8249 0.0000
Mo 0.0000 0.0000 0.5000
O 0.3276 0.0472 0.6672
O 0.1874 0.1874 0.3196
O 0.6724 0.9528 0.3328
O 0.0472 0.3276 0.6672
O 0.8126 0.8126 0.6804
O 0.9528 0.6724 0.3328
Pb 0.6643 0.3357 0.5000
Pb 0.3357 0.6643 0.5000

=====

## MoRhPb2O6 (PBE with a Hubbard U)

Data for a geometry-optimized MoRhPb2O6 structure.

Computed properties:
Its raw total energy is -6.29 eV per atom.

abc: 5.8234 5.8234 10.1681
angles: 73.36 73.36 60.00
Last column: magnetic moment on the atom in μB.
Positions (direct):
Rh 0.4087 0.4087 0.7740  -0.02
Rh 0.5913 0.5913 0.2260  -0.02
O 0.1352 0.6115 0.6419  0.01
O 0.6115 0.6115 0.6419  0.01
O 0.2684 0.8048 0.1220  0.00
O 0.8048 0.2684 0.1220  0.00
O 0.1952 0.1952 0.8780  0.00
O 0.8648 0.3885 0.3581  0.01
O 0.3885 0.3885 0.3581  0.01
O 0.1952 0.7316 0.8780  0.00
O 0.3885 0.8648 0.3581  0.01
O 0.7316 0.1952 0.8780  0.00
O 0.8048 0.8048 0.1220  0.00
O 0.6115 0.1352 0.6419  0.01
Pb 0.8851 0.8851 0.3448  0.00
Pb 0.2719 0.2719 0.1842  0.00
Pb 0.1149 0.1149 0.6552  0.00
Pb 0.7281 0.7281 0.8158  0.00
Mo 0.5000 0.5000 0.5000  1.87
Mo 0.0000 0.0000 0.0000  0.01

=====

## MoRhPbO6 (PBE with a Hubbard U)

Data for a geometry-optimized MoRhPbO6 structure.

Computed properties:
Its raw total energy is -6.42 eV per atom.

abc: 4.7804 4.7804 9.8217
angles: 90.00 90.00 90.00
Last column: magnetic moment on the atom in μB.
Positions (direct):
Mo 0.5000 0.5000 0.1680  1.05
Mo 0.0000 0.0000 0.6680  1.05
O 0.6989 0.6989 0.3205  -0.03
O 0.2960 0.2960 0.6777  -0.01
O 0.6768 0.6768 0.0023  -0.01
O 0.7960 0.2040 0.1777  -0.01
O 0.2040 0.7960 0.1777  -0.01
O 0.8232 0.1768 0.5023  -0.01
O 0.8011 0.1989 0.8205  -0.03
O 0.1768 0.8232 0.5023  -0.01
O 0.3232 0.3232 0.0023  -0.01
O 0.1989 0.8011 0.8205  -0.03
O 0.7040 0.7040 0.6777  -0.01
O 0.3011 0.3011 0.3205  -0.03
Pb 0.0000 0.0000 0.9995  0.04
Pb 0.5000 0.5000 0.4995  0.04
Rh 0.5000 0.5000 0.8316  -0.02
Rh 0.0000 0.0000 0.3316  -0.02

=====

## MoPbS2O8 (PBE with a Hubbard U)

Data for a geometry-optimized MoPbS2O8 structure.

Computed properties:
Its raw total energy is -6.17 eV per atom.

abc: 5.2481 5.2481 7.5097
angles: 90.00 90.00 120.00
Last column: magnetic moment on the atom in μB.
Positions (direct):
Pb 0.0000 0.0000 0.5000  0.00
O 0.3547 0.1774 0.2079  0.00
O 0.3333 0.6667 0.5327  0.00
O 0.1774 0.3547 0.7921  0.00
O 0.6667 0.3333 0.4673  0.00
O 0.8226 0.6453 0.2079  0.00
O 0.1774 0.8226 0.7921  0.00
O 0.8226 0.1774 0.2079  0.00
O 0.6453 0.8226 0.7921  0.00
S 0.3333 0.6667 0.7298  0.00
S 0.6667 0.3333 0.2702  0.00
Mo 0.0000 0.0000 0.0000  1.80

=====

## SbMoPb2O6 (PBE with a Hubbard U)

Data for a geometry-optimized SbMoPb2O6 structure.

Computed properties:
Its raw total energy is -6.12 eV per atom.

abc: 5.7732 6.0744 8.5325
angles: 90.00 90.58 90.00
Last column: magnetic moment on the atom in μB.
Positions (direct):
O 0.6767 0.2652 0.9616  -0.04
O 0.1967 0.1789 0.0213  0.01
O 0.9239 0.5341 0.2624  0.01
O 0.8233 0.7652 0.5384  -0.04
O 0.1767 0.2348 0.4616  -0.04
O 0.0761 0.4659 0.7376  0.01
O 0.6967 0.3211 0.5213  0.01
O 0.3233 0.7348 0.0384  -0.04
O 0.4239 0.9659 0.7624  0.01
O 0.5761 0.0341 0.2376  0.01
O 0.8033 0.8211 0.9787  0.01
O 0.3033 0.6789 0.4787  0.01
Sb 0.5000 0.0000 0.5000  0.00
Sb 0.0000 0.5000 0.0000  0.00
Mo 0.5000 0.0000 0.0000  0.99
Mo 0.0000 0.5000 0.5000  0.99
Pb 0.0065 0.0443 0.7664  0.01
Pb 0.9935 0.9557 0.2336  0.01
Pb 0.5065 0.4557 0.2664  0.01
Pb 0.4935 0.5443 0.7336  0.01

=====

## MoPbSeO6 (PBE with a Hubbard U)

Data for a geometry-optimized MoPbSeO6 structure.

Computed properties:
Its raw total energy is -6.19 eV per atom.

abc: 7.0309 7.3378 11.2006
angles: 99.35 100.75 89.79
Positions (direct):
O 0.7972 0.5642 0.0470
O 0.8173 0.9509 0.0465
O 0.5685 0.1338 0.6197
O 0.4661 0.3243 0.3910
O 0.0761 0.5010 0.2401
O 0.9239 0.4990 0.7599
O 0.4893 0.3904 0.8067
O 0.7273 0.2886 0.1775
O 0.9185 0.8886 0.7542
O 0.2095 0.4686 0.6042
O 0.2727 0.7114 0.8225
O 0.5339 0.6757 0.6090
O 0.1471 0.1859 0.7295
O 0.8529 0.8141 0.2705
O 0.1827 0.0491 0.9535
O 0.5107 0.6096 0.1933
O 0.7905 0.5314 0.3958
O 0.5172 0.9808 0.1799
O 0.4828 0.0192 0.8201
O 0.2028 0.4358 0.9530
O 0.8132 0.1571 0.4023
O 0.0815 0.1114 0.2458
O 0.1868 0.8429 0.5977
O 0.4315 0.8662 0.3803
Se 0.2940 0.6427 0.5349
Se 0.7060 0.3573 0.4651
Se 0.6172 0.1901 0.7793
Se 0.3828 0.8099 0.2207
Mo 0.1701 0.9551 0.7993
Mo 0.1725 0.4524 0.7970
Mo 0.8299 0.0449 0.2007
Mo 0.8275 0.5476 0.2030
Pb 0.2462 0.1406 0.4901
Pb 0.3345 0.2921 0.1580
Pb 0.7538 0.8594 0.5099
Pb 0.6655 0.7079 0.8420

=====

## SmMo2PbO8 (PBE with a Hubbard U)

Data for a geometry-optimized SmMo2PbO8 structure.

Computed properties:
Its raw total energy is -7.05 eV per atom.

abc: 6.0784 6.0784 7.1625
angles: 90.00 90.00 120.00
Last column: magnetic moment on the atom in μB.
Positions (direct):
O 0.3333 0.6667 0.0381  -0.03
O 0.6689 0.8348 0.7156  -0.03
O 0.1659 0.3311 0.7156  -0.03
O 0.1652 0.8341 0.7156  -0.03
O 0.6667 0.3333 0.9619  -0.03
O 0.8341 0.6689 0.2844  -0.03
O 0.8348 0.1659 0.2844  -0.03
O 0.3311 0.1652 0.2844  -0.03
Sm 0.0000 0.0000 0.5000  0.04
Pb 0.0000 0.0000 0.0000  0.05
Mo 0.6667 0.3333 0.2080  0.52
Mo 0.3333 0.6667 0.7920  0.52

=====

## SmMoPb2O6 (PBE with a Hubbard U)

Data for a geometry-optimized SmMoPb2O6 structure.

Computed properties:
Its raw total energy is -6.79 eV per atom.

abc: 5.7674 6.1572 8.6171
angles: 90.00 89.16 90.00
Last column: magnetic moment on the atom in μB.
Positions (direct):
O 0.6778 0.2616 0.5358  -0.03
O 0.8222 0.7616 0.9642  -0.03
O 0.9269 0.5326 0.2353  0.01
O 0.1971 0.1737 0.4810  0.01
O 0.5731 0.0326 0.2647  0.01
O 0.4269 0.9674 0.7353  0.01
O 0.1778 0.2384 0.0358  -0.03
O 0.6971 0.3263 0.9810  0.01
O 0.8029 0.8263 0.5190  0.01
O 0.0731 0.4674 0.7647  0.01
O 0.3029 0.6737 0.0190  0.01
O 0.3222 0.7384 0.4642  -0.03
Pb 0.4904 0.5467 0.7721  0.01
Pb 0.0096 0.0467 0.7279  0.01
Pb 0.9904 0.9533 0.2721  0.01
Pb 0.5095 0.4533 0.2279  0.01
Mo 0.0000 0.5000 0.0000  0.97
Mo 0.5000 0.0000 0.5000  0.97
Sm 0.5000 0.0000 0.0000  0.01
Sm 0.0000 0.5000 0.5000  0.01

=====

## SnMoPbO6 (PBE with a Hubbard U)

Data for a geometry-optimized SnMoPbO6 structure.

Computed properties:
Its raw total energy is -6.43 eV per atom.

abc: 5.4347 5.4347 10.6165
angles: 90.00 90.00 120.00
Positions (direct):
O 0.6260 0.6078 0.6454
O 0.9818 0.6078 0.8546
O 0.3922 0.0182 0.6454
O 0.0182 0.6260 0.3546
O 0.6260 0.0182 0.8546
O 0.3740 0.9818 0.1454
O 0.3740 0.3922 0.3546
O 0.3922 0.3740 0.8546
O 0.9818 0.3740 0.6454
O 0.6078 0.9818 0.3546
O 0.6078 0.6260 0.1454
O 0.0182 0.3922 0.1454
Pb 0.0000 0.0000 0.5000
Pb 0.0000 0.0000 0.0000
Mo 0.6667 0.3333 0.7500
Mo 0.3333 0.6667 0.2500
Sn 0.3333 0.6667 0.7500
Sn 0.6667 0.3333 0.2500

=====

## SrMoPb2O6 (PBE with a Hubbard U)

Data for a geometry-optimized SrMoPb2O6 structure.

Computed properties:
Its raw total energy is -6.31 eV per atom.

abc: 5.7316 6.3882 8.5704
angles: 90.00 89.06 90.00
Positions (direct):
O 0.1642 0.2508 0.0678
O 0.4053 0.9390 0.7180
O 0.7942 0.8407 0.5251
O 0.3358 0.7508 0.4322
O 0.8358 0.7492 0.9322
O 0.7058 0.3407 0.9749
O 0.6642 0.2492 0.5678
O 0.0947 0.4390 0.7820
O 0.9053 0.5610 0.2180
O 0.2942 0.6593 0.0251
O 0.2058 0.1593 0.4749
O 0.5947 0.0610 0.2820
Sr 0.5000 0.0000 0.0000
Sr 0.0000 0.5000 0.5000
Pb 0.4954 0.4532 0.2259
Pb 0.9954 0.0468 0.7259
Pb 0.0046 0.9532 0.2741
Pb 0.5046 0.5468 0.7741
Mo 0.0000 0.5000 0.0000
Mo 0.5000 0.0000 0.5000

=====

## SrMo2PbO8 (PBE with a Hubbard U)

Data for a geometry-optimized SrMo2PbO8 structure.

Computed properties:
Its raw total energy is -6.85 eV per atom.

abc: 6.5254 6.5254 6.5254
angles: 106.44 106.44 115.72
Positions (direct):
O 0.9109 0.5913 0.6804
O 0.4087 0.0891 0.3196
O 0.3412 0.5233 0.1821
O 0.3412 0.1591 0.8179
O 0.8409 0.6588 0.1821
O 0.9109 0.2304 0.3196
O 0.4767 0.6588 0.8179
O 0.7696 0.0891 0.6804
Mo 0.7500 0.2500 0.5000
Mo 0.5000 0.5000 0.0000
Pb 0.0000 0.0000 0.0000
Sr 0.2500 0.7500 0.5000

=====

## TaMo2PbO8 (PBE with a Hubbard U)

Data for a geometry-optimized TaMo2PbO8 structure.

Computed properties:
Its raw total energy is -7.62 eV per atom.

abc: 4.8577 4.8551 6.6869
angles: 90.00 90.00 89.54
Last column: magnetic moment on the atom in μB.
Positions (direct):
O 0.3288 0.3283 0.5000  -0.05
O 0.7973 0.2033 0.7889  -0.02
O 0.2027 0.7967 0.2111  -0.02
O 0.3027 0.3021 0.0000  -0.01
O 0.6973 0.6979 0.0000  -0.01
O 0.7973 0.2033 0.2111  -0.02
O 0.2027 0.7967 0.7889  -0.02
O 0.6712 0.6717 0.5000  -0.05
Ta 0.0000 0.0000 0.0000  0.06
Mo 0.5000 0.5000 0.2445  1.84
Mo 0.5000 0.5000 0.7555  1.84
Pb 0.0000 0.0000 0.5000  -0.05